1.
Density functional theory data (PBE) for Er6SbTe3Pb2 after structural relaxation.

The structure in CIF format:
```
data_Er6SbTe3Pb2
_symmetry_space_group_name_H-M 'C 1 2/m 1'
_symmetry_Int_Tables_number 12
_symmetry_space_group_name_Hall '-C 2y'
_cell_length_a 19.039
_cell_length_b 4.382
_cell_length_c 8.740
_cell_angle_alpha 90.00
_cell_angle_beta 103.05
_cell_angle_gamma 90.00
loop_
_atom_site_label
_atom_site_fract_x
_atom_site_fract_y
_atom_site_fract_z
Er1 0.003 0.000 0.244
Er2 0.164 0.500 0.090
Er3 0.169 0.500 0.576
Sb1 0.000 0.500 0.000
Te1 0.000 0.500 0.500
Te2 0.166 0.000 0.833
Pb1 0.167 0.000 0.332
```

## Properties
energy relative to the elements, uncorrected = -1.00 eV/atom
E_tot = -120.7 eV for the cell shown
M_tot = 0.000 μB/atom

2.
Density functional theory data (PBE) for Er14ScPb after structural relaxation.

The structure in CIF format:
```
data_Er14ScPb
_symmetry_space_group_name_H-M 'A m m 2'
_symmetry_Int_Tables_number 38
_symmetry_space_group_name_Hall 'A 2 -2'
_cell_length_a 10.657
_cell_length_b 8.361
_cell_length_c 10.765
_cell_angle_alpha 90.00
_cell_angle_beta 90.00
_cell_angle_gamma 90.00
loop_
_atom_site_label
_atom_site_fract_x
_atom_site_fract_y
_atom_site_fract_z
Er1 0.000 0.000 0.000
Er2 0.000 0.000 0.449
Er3 0.000 0.201 0.730
Er4 0.226 0.000 0.225
Er5 0.257 0.211 0.507
Er6 0.279 0.000 0.791
Er7 0.500 0.206 0.289
Sc1 0.500 0.000 0.017
Pb1 0.500 0.000 0.571
```

## Properties
energy relative to the elements = -0.015 eV per atom
E_tot = -148.3 eV for the cell shown
M_tot = 0.000 μB/atom

3.
Density functional theory data (PBE) for Er5ScPb6 after structural relaxation.

The structure in CIF format:
```
data_Er5ScPb6
_symmetry_space_group_name_H-M 'C 1 2/m 1'
_symmetry_Int_Tables_number 12
_symmetry_space_group_name_Hall '-C 2y'
_cell_length_a 6.039
_cell_length_b 15.103
_cell_length_c 7.650
_cell_angle_alpha 90.00
_cell_angle_beta 103.79
_cell_angle_gamma 90.00
loop_
_atom_site_label
_atom_site_fract_x
_atom_site_fract_y
_atom_site_fract_z
Er1 0.000 0.000 0.000
Er2 0.000 0.328 0.000
Er3 0.000 0.336 0.500
Sc1 0.000 0.000 0.500
Pb1 0.003 0.163 0.742
Pb2 0.012 0.500 0.247
```

## Properties
energy relative to the elements = -0.385 eV per atom
E_tot = -112.0 eV for the cell shown
M_tot = 0.000 μB/atom